Record 1
The following is a PBE-GGA calculation of a relaxed YTl2S2 crystal, from Alexandria via LeMat-Bulk.

The structure in POSCAR format:
```
YTl2S2
1.0
3.4066 -1.9720 0.0000
3.4066 1.9720 0.0000
-2.7587 0.0000 10.7586
Y Tl S
1 2 2
direct
0.0000 0.0000 0.0000 Y
0.4705 0.4705 0.6410 Tl
0.5295 0.5295 0.3590 Tl
0.2751 0.2751 0.8578 S
0.7249 0.7249 0.1422 S
```

Values from the calculation:
- ΔE_f (raw): -1.1014 eV/atom
- Offset from the most stable computed form: 0.0 meV/atom
- Final energy: -25.0 eV for the cell shown

Record 2
The following is a PBE-GGA calculation of a relaxed NaPmGe2 crystal, from Alexandria via LeMat-Bulk.

The structure in POSCAR format:
```
NaPmGe2
1.0
4.5592 0.0000 0.0000
0.0000 4.5592 0.0000
0.0000 0.0000 4.3045
Na Pm Ge
1 1 2
direct
0.0000 0.0000 0.0000 Na
0.5000 0.5000 0.0000 Pm
0.0000 0.5000 0.5000 Ge
0.5000 0.0000 0.5000 Ge
```

Values from the calculation:
- Offset from the most stable computed form: 37.8 meV/atom
- Final energy: -16.9 eV for the cell shown

Record 3
The following is a PBE-GGA calculation of a relaxed Nb2Fe3Os crystal, from Alexandria via LeMat-Bulk.

The structure in POSCAR format:
```
Nb2Fe3Os
1.0
2.4274 1.4015 4.0949
-2.4274 1.4015 4.0949
0.0000 -2.8029 4.0949
Nb Fe Os
2 3 1
direct
0.1229 0.1229 0.1229 Nb
0.8771 0.8771 0.8771 Nb
0.0000 0.5000 0.5000 Fe
0.5000 0.0000 0.5000 Fe
0.5000 0.5000 0.0000 Fe
0.5000 0.5000 0.5000 Os
```

Values from the calculation:
- Final energy: -57.6 eV for the cell shown

Record 4
The following is a PBE-GGA calculation of a relaxed TbTlBi2 crystal, from Alexandria via LeMat-Bulk.

The structure in POSCAR format:
```
TbTlBi2
1.0
4.2322 0.0000 0.0000
0.0000 4.2322 0.0000
0.0000 0.0000 6.8266
Tb Tl Bi
1 1 2
direct
0.0000 0.0000 0.0000 Tb
0.0000 0.0000 0.5000 Tl
0.5000 0.5000 0.2317 Bi
0.5000 0.5000 0.7683 Bi
```

Values from the calculation:
- Offset from the most stable computed form: 0.0 meV/atom
- Final energy: -16.3 eV for the cell shown

Record 5
The following is a PBE-GGA calculation of a relaxed LiAlAg2 crystal, from Alexandria via LeMat-Bulk.

The structure in POSCAR format:
```
LiAlAg2
1.0
1.5190 -2.4208 0.0000
1.5190 2.4208 0.0000
0.0000 0.0000 9.1637
Li Al Ag
1 1 2
direct
0.0000 0.0000 0.0000 Li
0.0000 0.0000 0.5000 Al
0.5000 0.5000 0.2490 Ag
0.5000 0.5000 0.7510 Ag
```

Values from the calculation:
- Final energy: -11.7 eV for the cell shown

Record 6
The following is a PBE-GGA calculation of a relaxed ScHgW2Br crystal, from Alexandria via LeMat-Bulk.

The structure in POSCAR format:
```
ScHgW2Br
1.0
4.6036 0.0000 0.0000
0.0000 4.6036 0.0000
0.0000 0.0000 5.5429
Sc Hg W Br
1 1 2 1
direct
0.0000 0.0000 0.0000 Sc
0.5000 0.5000 0.0000 Hg
0.0000 0.5000 0.5000 W
0.5000 0.0000 0.5000 W
0.5000 0.5000 0.5000 Br
```

Values from the calculation:
- ΔE_f (raw): 1.7129 eV/atom
- Final energy: -25.6 eV for the cell shown

Record 7
The following is a PBE-GGA calculation of a relaxed ThCuPbAu crystal, from Alexandria via LeMat-Bulk.

The structure in POSCAR format:
```
ThCuPbAu
1.0
0.0000 3.5765 3.5765
3.5765 0.0000 3.5765
3.5765 3.5765 0.0000
Th Cu Pb Au
1 1 1 1
direct
0.0000 0.0000 0.0000 Th
0.2500 0.2500 0.2500 Cu
0.5000 0.5000 0.5000 Pb
0.7500 0.7500 0.7500 Au
```

Values from the calculation:
- Final energy: -19.7 eV for the cell shown

Record 8
The following is a PBE-GGA calculation of a relaxed LaSm4Ag crystal, from Alexandria via LeMat-Bulk.

The structure in POSCAR format:
```
LaSm4Ag
1.0
2.7829 -7.8804 0.0000
2.7829 7.8804 0.0000
0.0000 0.0000 9.0175
La Sm Ag
2 8 2
direct
0.1308 0.8692 0.5000 La
0.8692 0.1308 0.0000 La
0.0957 0.9043 0.1035 Sm
0.2680 0.7320 0.8210 Sm
0.3359 0.6641 0.1822 Sm
0.4827 0.5173 0.8632 Sm
0.5173 0.4827 0.3632 Sm
0.6641 0.3359 0.6822 Sm
0.7320 0.2680 0.3210 Sm
0.9043 0.0957 0.6035 Sm
0.3327 0.6673 0.5143 Ag
0.6673 0.3327 0.0143 Ag
```

Values from the calculation:
- Offset from the most stable computed form: 189.6 meV/atom
- Final energy: -51.8 eV for the cell shown

Record 9
The following is a PBE-GGA calculation of a relaxed Pr2SmMnSe5 crystal, from Alexandria via LeMat-Bulk.

The structure in POSCAR format:
```
Pr2SmMnSe5
1.0
2.0570 -8.8089 0.0000
2.0570 8.8089 0.0000
0.0000 0.0000 12.6250
Pr Sm Mn Se
4 2 2 10
direct
0.1191 0.8809 0.5000 Pr
0.1202 0.8798 0.8472 Pr
0.8798 0.1202 0.3472 Pr
0.8809 0.1191 0.0000 Pr
0.1806 0.8194 0.1800 Sm
0.8194 0.1806 0.6800 Sm
0.4483 0.5517 0.5784 Mn
0.5517 0.4483 0.0784 Mn
0.0135 0.9865 0.1738 Se
0.3019 0.6981 0.8449 Se
0.3121 0.6879 0.5112 Se
0.3453 0.6547 0.1722 Se
0.4938 0.5062 0.9040 Se
0.5062 0.4938 0.4040 Se
0.6547 0.3453 0.6722 Se
0.6879 0.3121 0.0112 Se
0.6981 0.3019 0.3449 Se
0.9865 0.0135 0.6738 Se
```

Values from the calculation:
- ΔE_f (raw): -1.5567 eV/atom
- Final energy: -109.8 eV for the cell shown

Record 10
The following is a PBE-GGA calculation of a relaxed Rb2SrIrO6 crystal, from Alexandria via LeMat-Bulk.

The structure in POSCAR format:
```
Rb2SrIrO6
1.0
0.0000 4.3719 4.3719
4.3719 0.0000 4.3719
4.3719 4.3719 0.0000
Rb Sr Ir O
2 1 1 6
direct
0.2500 0.2500 0.2500 Rb
0.7500 0.7500 0.7500 Rb
0.0000 0.0000 0.0000 Sr
0.5000 0.5000 0.5000 Ir
0.2833 0.2833 0.7167 O
0.2833 0.7167 0.2833 O
0.2833 0.7167 0.7167 O
0.7167 0.2833 0.2833 O
0.7167 0.2833 0.7167 O
0.7167 0.7167 0.2833 O
```

Values from the calculation:
- ΔE_f (raw): -1.3825 eV/atom
- Final energy: -56.1 eV for the cell shown

Record 11
The following is a PBE-GGA calculation of a relaxed SiTe2Au crystal, from Alexandria via LeMat-Bulk.

The structure in POSCAR format:
```
SiTe2Au
1.0
2.0464 1.1815 8.1862
-2.0464 1.1815 8.1862
0.0000 -2.3630 8.1862
Si Te Au
1 2 1
direct
0.0000 0.0000 0.0000 Si
0.3943 0.3943 0.3943 Te
0.6057 0.6057 0.6057 Te
0.5000 0.5000 0.5000 Au
```

Values from the calculation:
- ΔE_f (raw): 0.1381 eV/atom
- Final energy: -14.4 eV for the cell shown

Record 12
The following is a PBE-GGA calculation of a relaxed BaGeTe2 crystal, from Alexandria via LeMat-Bulk.

The structure in POSCAR format:
```
BaGeTe2
1.0
2.2849 1.3192 7.8180
-2.2849 1.3192 7.8180
0.0000 -2.6384 7.8180
Ba Ge Te
1 1 2
direct
0.0000 0.0000 0.0000 Ba
0.8322 0.8322 0.8322 Ge
0.2360 0.2360 0.2360 Te
0.4313 0.4313 0.4313 Te
```

Values from the calculation:
- ΔE_f (raw): -0.7966 eV/atom
- Final energy: -16.0 eV for the cell shown

Record 13
The following is a PBE-GGA calculation of a relaxed LiPrBi2 crystal, from Alexandria via LeMat-Bulk.

The structure in POSCAR format:
```
LiPrBi2
1.0
4.5829 0.0000 0.0000
0.0000 4.5829 0.0000
0.0000 0.0000 10.6595
Li Pr Bi
2 2 4
direct
0.2500 0.7500 0.0000 Li
0.7500 0.2500 0.0000 Li
0.2500 0.2500 0.2565 Pr
0.7500 0.7500 0.7435 Pr
0.2500 0.2500 0.8374 Bi
0.2500 0.7500 0.5000 Bi
0.7500 0.2500 0.5000 Bi
0.7500 0.7500 0.1626 Bi
```

Values from the calculation:
- Offset from the most stable computed form: 0.0 meV/atom
- Final energy: -34.5 eV for the cell shown

Record 14
The following is a PBE-GGA calculation of a relaxed TaTcP2 crystal, from Alexandria via LeMat-Bulk.

The structure in POSCAR format:
```
TaTcP2
1.0
4.2788 -1.5676 0.0000
4.2788 1.5676 0.0000
-1.1759 0.0000 4.2682
Ta Tc P
1 1 2
direct
0.0000 0.0000 0.0000 Ta
0.2281 0.2281 0.6136 Tc
0.4962 0.4962 0.4897 P
0.7397 0.7397 0.1515 P
```

Values from the calculation:
- Offset from the most stable computed form: 138.6 meV/atom
- Final energy: -35.1 eV for the cell shown

Record 15
The following is a PBE-GGA calculation of a relaxed TbCd5Hg5 crystal, from Alexandria via LeMat-Bulk.

The structure in POSCAR format:
```
TbCd5Hg5
1.0
4.9513 0.0000 0.0000
-0.0858 6.3362 0.0000
-0.0354 -0.6882 8.8166
Tb Cd Hg
1 5 5
direct
0.0000 0.0000 0.0000 Tb
0.0101 0.3405 0.3546 Cd
0.4988 0.7147 0.1609 Cd
0.5000 0.0000 0.5000 Cd
0.5012 0.2853 0.8391 Cd
0.9899 0.6595 0.6454 Cd
0.0000 0.5000 0.0000 Hg
0.0007 0.1833 0.6634 Hg
0.4951 0.7804 0.8174 Hg
0.5049 0.2196 0.1826 Hg
0.9993 0.8167 0.3366 Hg
```

Values from the calculation:
- Final energy: -11.7 eV for the cell shown

Record 16
The following is a PBE-GGA calculation of a relaxed SrP3Rh6 crystal, from Alexandria via LeMat-Bulk.

The structure in POSCAR format:
```
SrP3Rh6
1.0
2.9127 1.6816 5.5062
-2.9127 1.6816 5.5062
0.0000 -3.3633 5.5062
Sr P Rh
1 3 6
direct
0.0000 0.0000 0.0000 Sr
0.2767 0.2767 0.2767 P
0.6132 0.6132 0.6132 P
0.8192 0.8192 0.8192 P
0.0417 0.5376 0.5467 Rh
0.2661 0.4580 0.8492 Rh
0.4580 0.8492 0.2661 Rh
0.5376 0.5467 0.0417 Rh
0.5467 0.0417 0.5376 Rh
0.8492 0.2661 0.4580 Rh
```

Values from the calculation:
- Final energy: -68.2 eV for the cell shown

Record 17
The following is a PBE-GGA calculation of a relaxed Pr3AlGa2Au6 crystal, from Alexandria via LeMat-Bulk.

The structure in POSCAR format:
```
Pr3AlGa2Au6
1.0
6.1858 0.0000 0.0000
-3.0929 5.3570 0.0000
0.0000 0.0000 8.4384
Pr Al Ga Au
3 1 2 6
direct
0.0000 0.0000 0.0000 Pr
0.3333 0.6667 0.6304 Pr
0.6667 0.3333 0.3696 Pr
0.0000 0.0000 0.5000 Al
0.3333 0.6667 0.0217 Ga
0.6667 0.3333 0.9783 Ga
0.1769 0.3539 0.2855 Au
0.1769 0.8231 0.2855 Au
0.3539 0.1769 0.7145 Au
0.6461 0.8231 0.2855 Au
0.8231 0.1769 0.7145 Au
0.8231 0.6461 0.7145 Au
```

Values from the calculation:
- Final energy: -50.4 eV for the cell shown

Record 18
The following is a PBE-GGA calculation of a relaxed ZrAgAs2 crystal, from Alexandria via LeMat-Bulk.

The structure in POSCAR format:
```
ZrAgAs2
1.0
1.5197 0.8774 10.4657
-1.5197 0.8774 10.4657
0.0000 -1.7549 10.4657
Zr Ag As
1 1 2
direct
0.0000 0.0000 0.0000 Zr
0.7473 0.7473 0.7473 Ag
0.2598 0.2598 0.2598 As
0.4868 0.4868 0.4868 As
```

Values from the calculation:
- Final energy: -20.2 eV for the cell shown

Record 19
The following is a PBE-GGA calculation of a relaxed CaLa2BiN crystal, from Alexandria via LeMat-Bulk.

The structure in POSCAR format:
```
CaLa2BiN
1.0
5.1091 0.0000 0.0000
0.0000 5.1091 0.0000
0.0000 0.0000 4.9934
Ca La Bi N
1 2 1 1
direct
0.0000 0.0000 0.0000 Ca
0.0000 0.5000 0.5000 La
0.5000 0.0000 0.5000 La
0.5000 0.5000 0.0000 Bi
0.0000 0.0000 0.5000 N
```

Values from the calculation:
- ΔE_f (raw): -0.9665 eV/atom
- Final energy: -28.9 eV for the cell shown

Record 20
The following is a PBE-GGA calculation of a relaxed Ca3GaGe2Au9 crystal, from Alexandria via LeMat-Bulk.

The structure in POSCAR format:
```
Ca3GaGe2Au9
1.0
7.8665 0.0000 0.0000
-3.9333 6.8126 0.0000
0.0000 0.0000 6.6265
Ca Ga Ge Au
3 1 2 9
direct
0.0000 0.0000 0.0000 Ca
0.3333 0.6667 0.6670 Ca
0.6667 0.3333 0.3330 Ca
0.0000 0.0000 0.5000 Ga
0.3333 0.6667 0.1668 Ge
0.6667 0.3333 0.8332 Ge
0.0000 0.5000 0.0000 Au
0.1665 0.3330 0.3356 Au
0.1665 0.8335 0.3356 Au
0.3330 0.1665 0.6644 Au
0.5000 0.0000 0.0000 Au
0.5000 0.5000 0.0000 Au
0.6670 0.8335 0.3356 Au
0.8335 0.1665 0.6644 Au
0.8335 0.6670 0.6644 Au
```

Values from the calculation:
- Final energy: -52.7 eV for the cell shown